(1)
Computed, not measured: a relaxed Mg4MnAs crystal at the PBE-GGA level of DFT.

a b c (Å): 8.0195 8.0195 8.0195
angles (deg): 90.00 90.00 90.00
Space group F-43m (No. 216)
One atom of each set of equivalent atoms:
Mg1 0.1249 0.1249 0.1249 x16
Mn1 0.2500 0.2500 0.7500 x4
As1 0.0000 0.0000 0.5000 x4

Summary:
* formation energy from the elements: 0.351 eV/atom
* size of the total moment: 0.673 μB/atom
* density of states at the Fermi level: 20.42 states/eV per cell

=====

(2)
Computed, not measured: a relaxed Mg2MnAsN crystal at the PBE-GGA level of DFT.

a b c (Å): 5.0691 5.0691 4.3680
angles (deg): 90.00 90.00 90.00
Space group P4/mmm (No. 123)
One atom of each set of equivalent atoms:
Mg1 0.0000 0.5000 0.0000 x2
Mn1 0.0000 0.0000 0.0000 x1
As1 0.0000 0.0000 0.5000 x1
N1 0.5000 0.5000 0.5000 x1

Summary:
* uncorrected formation energy: 1.077 eV per atom
* size of the total moment: 0.858 μB/atom
* density of states at the Fermi level: 3.33 states/eV per cell